A relaxed RbSiGeRh2 crystal. Source: Alexandria via LeMat-Bulk, functional GGA-PBEsol.

Structure (POSCAR):
```
RbSiGeRh2
1.0
4.463 0.000 0.000
0.000 4.463 0.000
0.000 0.000 5.525
Rb Si Ge Rh
1 1 1 2
Direct
0.000 0.000 0.000
0.000 0.000 0.500
0.500 0.500 0.000
0.000 0.500 0.500
0.500 0.000 0.500
```

Output
For the uncorrected formation energy, the calculation gives 0.73 eV per atom.